An optimized crystal structure of InGeSb, computed with PBE.

Computed properties:
Spin magnetization in Bohr magnetons per cell: 0.000
Density of states at the Fermi level in states/eV per cell: 1.950
ΔE_f (raw) in eV/atom: 0.17
Crystal system: trigonal

a = 5.2383 Å, b = 5.2383 Å, c = 3.1698 Å
α = 90.00°, β = 90.00°, γ = 120.00°
With the nearest neighbours (Å) after each atom.
Space group P3m1 (No. 156)
Unique sites:
In 0.0000 0.0000 0.0000  2 In 3.17, 6 Ge 3.39-3.43, 6 Sb 3.41-3.42
Ge 0.6667 0.3333 0.4863  3 Sb 3.02, 2 Ge 3.17
Sb 0.3333 0.6667 0.5013  3 Ge 3.02, 2 Sb 3.17